Crystalline Nb2Cd2Ga at its relaxed geometry. Source: the Alexandria database, functional PBE.

Output
magnetic moment = 0.0 Bohr magnetons per cell
space-group type = No. 139
N(E_F) = 4.070 states/eV per cell
VASP energy = -4.548 eV/atom
E_form = 10.41 kcal/mol of atoms

Cell and atoms, written as POSCAR:
```
Nb2Cd2Ga
1.0
3.853 0.000 0.000
0.000 3.853 0.000
1.926 1.926 7.078
Nb Ga Cd
2 1 2
direct
0.418 0.418 0.164
0.582 0.582 0.836
0.000 0.000 0.000
0.750 0.250 0.500
0.250 0.750 0.500
```